DFT (PBE) results for Mg4Au3 after structural relaxation.

Unit cell a=5.5053 b=5.5053 c=5.2955 alpha=90.00 beta=90.00 gamma=120.00
Last column: nearest neighbours and their distance in Å.
Fractional positions:
Mg (0.0000, 0.0000, 0.2472)  2 Mg 2.62-2.68
Mg (0.0000, 0.0000, 0.7528)  2 Mg 2.62-2.68
Mg (0.6667, 0.3333, 0.5000)  6 Au 3.09, 9 Mg 3.18-3.45
Mg (0.3333, 0.6667, 0.5000)  6 Au 3.09, 9 Mg 3.18-3.45
Au (0.0000, 0.5000, 0.0000)  4 Au 2.75, 4 Mg 3.05
Au (0.5000, 0.5000, 0.0000)  4 Au 2.75, 4 Mg 3.05
Au (0.5000, 0.0000, 0.0000)  4 Au 2.75, 4 Mg 3.05

Polymorph energy (0 for the lowest one)   223.9 meV per atom
D(E_F)   2.82 states/eV/f.u.
Space-group type   P6/mmm (191)
ΔH_f (0 K)   -0.3237 eV/atom